A geometry-optimized TmAl3Au structure. Source: Alexandria, functional GGA-PBE. Values from VASP.

E_form   -541 meV/atom
Electronic total energy   -43.364 eV/cell
Theoretical density   7.65 Mg/m³
Symmetry   Cmcm
Excess energy over the best structure of this formula in the dataset   0.00 eV per formula unit
Total magnetic moment   0.0 μB per formula unit

The structure in Quantum ESPRESSO input format:
```
&SYSTEM
  ibrav = 0, nat = 10, ntyp = 3
/
ATOMIC_SPECIES
Tm 168.93 Tm.upf
Al 26.98 Al.upf
Au 196.97 Au.upf
CELL_PARAMETERS angstrom
2.9128 -5.7235 0.0000
2.9128 5.7235 0.0000
0.0000 0.0000 5.8190
ATOMIC_POSITIONS crystal
Tm 0.2459 0.7541 0.7500
Tm 0.7541 0.2459 0.2500
Al 0.1459 0.8541 0.2500
Al 0.2486 0.2486 0.0000
Al 0.2486 0.2486 0.5000
Al 0.7514 0.7514 0.0000
Al 0.7514 0.7514 0.5000
Al 0.8541 0.1459 0.7500
Au 0.3612 0.6388 0.2500
Au 0.6388 0.3612 0.7500
```

=====

A geometry-optimized Ho4Er3Tm8 structure. Source: Alexandria, functional GGA-PBE. Values from VASP.

E_form   414 meV/atom
Electronic total energy   -61.569 eV/cell
Theoretical density   8.73 Mg/m³
Symmetry   C2/m
Excess energy over the best structure of this formula in the dataset   4.01 eV per formula unit
Total magnetic moment   0.0 μB per formula unit

The structure in Quantum ESPRESSO input format:
```
&SYSTEM
  ibrav = 0, nat = 15, ntyp = 3
/
ATOMIC_SPECIES
Ho 164.93 Ho.upf
Er 167.26 Er.upf
Tm 168.93 Tm.upf
CELL_PARAMETERS angstrom
6.5689 -6.3706 0.0000
6.5689 6.3706 0.0000
-3.3147 0.0000 5.7129
ATOMIC_POSITIONS crystal
Ho 0.0000 0.0000 0.0000
Ho 0.0000 0.0000 0.5000
Ho 0.0000 0.5000 0.0000
Ho 0.5000 0.0000 0.0000
Er 0.0000 0.5000 0.5000
Er 0.5000 0.0000 0.5000
Er 0.5000 0.5000 0.0000
Tm 0.2517 0.7483 0.0000
Tm 0.2656 0.2656 0.5082
Tm 0.2666 0.2666 0.0288
Tm 0.3618 0.6382 0.5000
Tm 0.6382 0.3618 0.5000
Tm 0.7334 0.7334 0.9712
Tm 0.7344 0.7344 0.4918
Tm 0.7483 0.2517 0.0000
```

=====

> Look up the electronic total energy of the second one.

-61.569 eV/cell